1.
Li3Si5Te12 (PBE, optimized geometry); final energy = -72.32 eV per formula unit; DOS(E_F) = 55.506 states/eV/cell; formation energy from raw total energies = -0.088 eV per atom
1.0
14.527 0.000 0.000
-4.842 13.696 0.000
-4.842 -6.848 11.861
Te Si Li
48 20 12
Direct
0.823 0.909 0.036
0.627 0.591 0.914
0.464 0.677 0.091
0.787 0.464 0.373
0.373 0.409 0.086
0.177 0.086 0.713
0.677 0.213 0.586
0.086 0.909 0.373
0.964 0.373 0.287
0.287 0.873 0.964
0.414 0.127 0.591
0.127 0.414 0.091
0.909 0.086 0.873
0.127 0.713 0.536
0.091 0.914 0.127
0.627 0.036 0.213
0.909 0.823 0.536
0.091 0.177 0.464
0.591 0.964 0.677
0.409 0.373 0.586
0.677 0.464 0.591
0.914 0.823 0.787
0.213 0.677 0.086
0.873 0.287 0.464
0.586 0.713 0.677
0.177 0.091 0.964
0.823 0.914 0.287
0.536 0.213 0.127
0.964 0.591 0.177
0.409 0.036 0.323
0.536 0.323 0.909
0.086 0.177 0.213
0.414 0.287 0.323
0.287 0.414 0.823
0.914 0.091 0.627
0.036 0.627 0.713
0.591 0.627 0.414
0.713 0.127 0.036
0.213 0.536 0.627
0.586 0.873 0.409
0.873 0.586 0.909
0.787 0.323 0.914
0.373 0.964 0.787
0.036 0.409 0.823
0.713 0.586 0.177
0.323 0.536 0.409
0.323 0.787 0.414
0.464 0.787 0.873
0.250 0.875 0.125
0.375 0.250 0.125
0.000 0.500 0.500
0.500 0.000 0.000
0.500 0.500 0.500
0.250 0.375 0.625
0.000 0.000 0.500
0.125 0.750 0.375
0.625 0.750 0.875
0.875 0.250 0.625
0.500 0.500 0.000
0.500 0.000 0.500
0.125 0.375 0.250
0.750 0.625 0.375
0.375 0.125 0.750
0.000 0.000 0.000
0.875 0.625 0.750
0.625 0.875 0.250
0.750 0.125 0.875
0.000 0.500 0.000
0.625 0.250 0.375
0.875 0.125 0.250
0.250 0.125 0.375
0.125 0.875 0.750
0.750 0.875 0.625
0.375 0.750 0.625
0.875 0.750 0.125
0.250 0.625 0.875
0.375 0.625 0.250
0.125 0.250 0.875
0.625 0.375 0.750
0.750 0.375 0.125



2.
Tm7Pd2Rh2 (PBE, optimized geometry); final energy = -64.31 eV per formula unit; DOS(E_F) = 9.221 states/eV/cell; DFT formation energy = -70 kJ per mole of atoms; excess energy over the best structure of this formula in the dataset = 0 meV/atom
1.0
3.729 0.000 0.800
1.030 7.788 4.292
0.031 -0.188 8.950
Rh Tm Pd
2 7 2
Direct
0.738 0.863 0.661
0.262 0.339 0.137
0.382 0.722 0.514
0.869 0.391 0.871
0.500 0.005 0.995
0.618 0.486 0.278
0.813 0.082 0.292
0.131 0.129 0.609
0.187 0.708 0.918
0.000 0.773 0.227
0.500 0.356 0.644



Repeat the second record exactly.
Tm7Pd2Rh2 (PBE, optimized geometry); final energy = -64.31 eV per formula unit; DOS(E_F) = 9.221 states/eV/cell; DFT formation energy = -70 kJ per mole of atoms; excess energy over the best structure of this formula in the dataset = 0 meV/atom
1.0
3.729 0.000 0.800
1.030 7.788 4.292
0.031 -0.188 8.950
Rh Tm Pd
2 7 2
Direct
0.738 0.863 0.661
0.262 0.339 0.137
0.382 0.722 0.514
0.869 0.391 0.871
0.500 0.005 0.995
0.618 0.486 0.278
0.813 0.082 0.292
0.131 0.129 0.609
0.187 0.708 0.918
0.000 0.773 0.227
0.500 0.356 0.644



Repeat the first record exactly.
Li3Si5Te12 (PBE, optimized geometry); final energy = -72.32 eV per formula unit; DOS(E_F) = 55.506 states/eV/cell; formation energy from raw total energies = -0.088 eV per atom
1.0
14.527 0.000 0.000
-4.842 13.696 0.000
-4.842 -6.848 11.861
Te Si Li
48 20 12
Direct
0.823 0.909 0.036
0.627 0.591 0.914
0.464 0.677 0.091
0.787 0.464 0.373
0.373 0.409 0.086
0.177 0.086 0.713
0.677 0.213 0.586
0.086 0.909 0.373
0.964 0.373 0.287
0.287 0.873 0.964
0.414 0.127 0.591
0.127 0.414 0.091
0.909 0.086 0.873
0.127 0.713 0.536
0.091 0.914 0.127
0.627 0.036 0.213
0.909 0.823 0.536
0.091 0.177 0.464
0.591 0.964 0.677
0.409 0.373 0.586
0.677 0.464 0.591
0.914 0.823 0.787
0.213 0.677 0.086
0.873 0.287 0.464
0.586 0.713 0.677
0.177 0.091 0.964
0.823 0.914 0.287
0.536 0.213 0.127
0.964 0.591 0.177
0.409 0.036 0.323
0.536 0.323 0.909
0.086 0.177 0.213
0.414 0.287 0.323
0.287 0.414 0.823
0.914 0.091 0.627
0.036 0.627 0.713
0.591 0.627 0.414
0.713 0.127 0.036
0.213 0.536 0.627
0.586 0.873 0.409
0.873 0.586 0.909
0.787 0.323 0.914
0.373 0.964 0.787
0.036 0.409 0.823
0.713 0.586 0.177
0.323 0.536 0.409
0.323 0.787 0.414
0.464 0.787 0.873
0.250 0.875 0.125
0.375 0.250 0.125
0.000 0.500 0.500
0.500 0.000 0.000
0.500 0.500 0.500
0.250 0.375 0.625
0.000 0.000 0.500
0.125 0.750 0.375
0.625 0.750 0.875
0.875 0.250 0.625
0.500 0.500 0.000
0.500 0.000 0.500
0.125 0.375 0.250
0.750 0.625 0.375
0.375 0.125 0.750
0.000 0.000 0.000
0.875 0.625 0.750
0.625 0.875 0.250
0.750 0.125 0.875
0.000 0.500 0.000
0.625 0.250 0.375
0.875 0.125 0.250
0.250 0.125 0.375
0.125 0.875 0.750
0.750 0.875 0.625
0.375 0.750 0.625
0.875 0.750 0.125
0.250 0.625 0.875
0.375 0.625 0.250
0.125 0.250 0.875
0.625 0.375 0.750
0.750 0.375 0.125